The following is a DFT calculation (PBE) of a relaxed TbY2CdO crystal.

- calculated total energy (eV/atom) = -6.017
- DOS at the Fermi energy (states/eV/cell) = 2.37

Cell and atoms, written as POSCAR:
```
TbY2CdO
1.0
4.808 0.000 0.000
0.000 4.808 0.000
0.000 0.000 4.810
Tb Y Cd O
1 2 1 1
direct
0.000 0.000 0.000
0.000 0.500 0.500
0.500 0.000 0.500
0.500 0.500 0.000
0.000 0.000 0.500
```


The following is a DFT calculation (PBE) of a relaxed CdTcO6 crystal.

- calculated total energy (eV/atom) = -5.561
- DOS at the Fermi energy (states/eV/cell) = 1.52

Cell and atoms, written as POSCAR:
```
CdTcO6
1.0
0.000 4.161 4.161
4.161 0.000 4.161
4.161 4.161 0.000
Cd Tc O
1 1 6
direct
0.000 0.000 0.000
0.500 0.500 0.500
0.276 0.276 0.724
0.276 0.724 0.276
0.276 0.724 0.724
0.724 0.276 0.276
0.724 0.276 0.724
0.724 0.724 0.276
```


The following is a DFT calculation (PBE) of a relaxed CdTc2O6 crystal.

- offset from the most stable computed form (eV per formula unit) = 0.00
- DOS at the Fermi energy (states/eV/cell) = 2.15

Cell and atoms, written as POSCAR:
```
CdTc2O6
1.0
4.877 -1.976 0.000
4.877 1.976 0.000
-3.063 0.000 6.208
Cd Tc O
1 2 6
direct
0.000 0.000 0.000
0.183 0.183 0.615
0.817 0.817 0.385
0.010 0.010 0.677
0.290 0.290 0.426
0.339 0.339 0.883
0.661 0.661 0.117
0.710 0.710 0.574
0.990 0.990 0.323
```